(1)
The following is a PBE calculation of a geometry-optimized CaIn3Cu structure, from Alexandria via LeMat-Bulk.

Results
formation energy: -0.26 eV/f.u.
ΔE to the lowest computed polymorph: 0.94 eV/f.u.
V: 26.84 Å³/atom

Cell lengths 5.1199, 5.1199, 5.1199 Å; angles 90.00, 90.00, 90.00 degrees
Element x y z (fractional)
1 Ca 0.5000 0.5000 0.5000
2 Cu 0.0000 0.0000 0.0000
3 In 0.0000 0.5000 0.0000
4 In 0.0000 0.0000 0.5000
5 In 0.5000 0.0000 0.0000

***

(2)
The following is a PBE calculation of a geometry-optimized Cs2ScInS4 structure, from Alexandria via LeMat-Bulk.

Results
formation energy without anion corrections: -105.7 kJ/mol of atoms
V: 27.25 Å³/atom

Cell lengths 8.5305, 8.5305, 8.3317 Å; angles 119.22, 119.22, 90.72 degrees
Element x y z (fractional)
1 S 0.7763 0.7240 0.9556
2 Cs 0.5000 0.5000 0.0000
3 In 0.5000 0.5000 0.5000
4 S 0.7760 0.7237 0.5444
5 S 0.2240 0.2763 0.4556
6 Cs 0.5000 0.0000 0.5000
7 S 0.2170 0.6781 0.4475
8 Cs 0.5000 0.0000 0.0000
9 S 0.7830 0.3219 0.5525
10 S 0.8220 0.2830 0.0525
11 Cs 0.0000 0.0000 0.5000
12 Sc 0.0000 0.5000 0.0000
13 Sc 0.0000 0.5000 0.5000
14 In 0.0000 0.0000 0.0000
15 S 0.1781 0.7170 0.9475
16 S 0.2237 0.2760 0.0444

***

(3)
The following is a PBE calculation of a geometry-optimized B2C structure, from Alexandria via LeMat-Bulk.

Results
formation energy: 1.57 eV/f.u.
ΔE to the lowest computed polymorph: 1.02 eV/f.u.
V: 6.98 Å³/atom

Cell lengths 4.8675, 4.8675, 4.4422 Å; angles 84.02, 84.02, 125.25 degrees
Element x y z (fractional)
1 B 0.4214 0.6718 0.6780
2 C 0.9344 0.1068 0.0994
3 C 0.1068 0.9344 0.5994
4 B 0.8847 0.0287 0.4531
5 B 0.2907 0.7901 0.1110
6 C 0.6791 0.1717 0.9913
7 C 0.1717 0.6791 0.4913
8 B 0.3318 0.4388 0.0423
9 B 0.6718 0.4214 0.1780
10 B 0.4388 0.3318 0.5423
11 B 0.7901 0.2907 0.6110
12 B 0.0287 0.8847 0.9531

***

(4)
The following is a PBE calculation of a geometry-optimized Nd3Tl3GeS8 structure, from Alexandria via LeMat-Bulk.

Results
formation energy without anion corrections: -108.8 kJ/mol of atoms
V: 28.95 Å³/atom

Cell lengths 8.1278, 8.1285, 8.9227 Å; angles 117.10, 90.01, 120.00 degrees
Element x y z (fractional)
1 Tl 0.5000 0.5000 0.0000
2 S 0.2094 0.4188 0.6869
3 S 0.2319 0.0225 0.3131
4 Nd 0.0000 0.5000 0.5000
5 S 0.7906 0.0225 0.3131
6 S 0.7906 0.5812 0.3131
7 S 0.2094 0.9775 0.6869
8 S 0.2649 0.5298 0.2946
9 Tl 0.0000 0.0000 0.0000
10 S 0.7681 0.9775 0.6869
11 Nd 0.5000 0.0000 0.5000
12 S 0.7351 0.4702 0.7054
13 Nd 0.5000 0.5000 0.5000
14 Ge 0.0000 0.0000 0.5000
15 Tl 0.0000 0.5000 0.0000

***

(5)
The following is a PBE calculation of a geometry-optimized BaH3F structure, from Alexandria via LeMat-Bulk.

Results
ΔE to the lowest computed polymorph: 0.00 eV/f.u.
V: 13.46 Å³/atom

Cell lengths 4.0680, 4.0680, 4.0680 Å; angles 90.00, 90.00, 90.00 degrees
Element x y z (fractional)
1 H 0.0000 0.0000 0.5000
2 F 0.0000 0.0000 0.0000
3 H 0.0000 0.5000 0.0000
4 Ba 0.5000 0.5000 0.5000
5 H 0.5000 0.0000 0.0000

***

(6)
The following is a PBE calculation of a geometry-optimized Sm2Zn15Ir2 structure, from Alexandria via LeMat-Bulk.

Results
formation energy: -5.00 eV/f.u.
V: 16.22 Å³/atom

Cell lengths 6.8035, 6.8035, 6.8035 Å; angles 82.88, 82.88, 82.88 degrees
Element x y z (fractional)
1 Zn 0.0000 0.7177 0.2823
2 Zn 0.2823 0.0000 0.7177
3 Zn 0.7177 0.0000 0.2823
4 Zn 0.3503 0.3503 0.8496
5 Zn 0.3503 0.8496 0.3503
6 Ir 0.8922 0.8922 0.8922
7 Sm 0.3330 0.3330 0.3330
8 Zn 0.2823 0.7177 0.0000
9 Zn 0.6497 0.6497 0.1504
10 Zn 0.6497 0.1504 0.6497
11 Zn 0.0000 0.5000 0.0000
12 Zn 0.0000 0.2823 0.7177
13 Sm 0.6670 0.6670 0.6670
14 Zn 0.0000 0.0000 0.5000
15 Zn 0.1504 0.6497 0.6497
16 Zn 0.5000 0.0000 0.0000
17 Zn 0.8496 0.3503 0.3503
18 Zn 0.7177 0.2823 0.0000
19 Ir 0.1078 0.1078 0.1078

***

(7)
The following is a PBE calculation of a geometry-optimized Ac2CuSnPt6 structure, from Alexandria via LeMat-Bulk.

Results
formation energy: -7.61 eV/f.u.
V: 22.19 Å³/atom

Cell lengths 5.5854, 8.7868, 6.9371 Å; angles 50.00, 66.26, 90.00 degrees
Element x y z (fractional)
1 Ac 0.7630 0.3014 0.4741
2 Sn 0.0000 0.0000 0.0000
3 Pt 0.7383 0.2484 0.0069
4 Pt 0.7453 0.7516 0.9930
5 Pt 0.2545 0.1020 0.4910
6 Ac 0.2370 0.6986 0.5259
7 Pt 0.2617 0.7516 0.9931
8 Cu 0.5000 0.5000 0.0000
9 Pt 0.7455 0.8980 0.5090
10 Pt 0.2547 0.2484 0.0070

***

(8)
The following is a PBE calculation of a geometry-optimized ScOs2Au structure, from Alexandria via LeMat-Bulk.

Results
formation energy: 0.93 eV/f.u.
ΔE to the lowest computed polymorph: 1.32 eV/f.u.
V: 16.81 Å³/atom

Cell lengths 2.9016, 4.1738, 5.5535 Å; angles 90.00, 90.00, 90.00 degrees
Element x y z (fractional)
1 Os 0.0000 0.0000 0.4679
2 Sc 0.5000 0.5000 0.2500
3 Au 0.5000 0.5000 0.7500
4 Os 0.0000 0.0000 0.0321

***

(9)
The following is a PBE calculation of a geometry-optimized Sb3PbO structure, from Alexandria via LeMat-Bulk.

Results
formation energy without anion corrections: -5.7 kJ/mol of atoms
ΔE to the lowest computed polymorph: 0.00 eV/f.u.
V: 23.94 Å³/atom

Cell lengths 4.9285, 4.9285, 4.9285 Å; angles 90.00, 90.00, 90.00 degrees
Element x y z (fractional)
1 Pb 0.5000 0.5000 0.5000
2 O 0.0000 0.0000 0.0000
3 Sb 0.0000 0.0000 0.5000
4 Sb 0.5000 0.0000 0.0000
5 Sb 0.0000 0.5000 0.0000

***

(10)
The following is a PBE calculation of a geometry-optimized HfNiSCl2 structure, from Alexandria via LeMat-Bulk.

Results
formation energy without anion corrections: -4.1 kJ/mol of atoms
ΔE to the lowest computed polymorph: 1.45 eV/f.u.
V: 18.24 Å³/atom

Cell lengths 4.3995, 4.3995, 4.7122 Å; angles 90.00, 90.00, 90.00 degrees
Element x y z (fractional)
1 Cl 0.0000 0.5000 0.0000
2 Hf 0.5000 0.5000 0.5000
3 Cl 0.5000 0.0000 0.0000
4 Ni 0.0000 0.0000 0.0000
5 S 0.0000 0.0000 0.5000

***

(11)
The following is a PBE calculation of a geometry-optimized TaSbMo structure, from Alexandria via LeMat-Bulk.

Results
formation energy without anion corrections: 11.5 kJ/mol of atoms
ΔE to the lowest computed polymorph: 0.61 eV/f.u.
V: 18.80 Å³/atom

Cell lengths 4.6135, 3.4503, 14.2168 Å; angles 90.00, 94.61, 90.00 degrees
Element x y z (fractional)
1 Sb 0.1101 0.0000 0.1614
2 Mo 0.6081 0.5000 0.1538
3 Sb 0.8899 0.0000 0.8386
4 Ta 0.0000 0.0000 0.5000
5 Ta 0.0000 0.5000 0.0000
6 Ta 0.5000 0.5000 0.5000
7 Mo 0.3919 0.0000 0.3462
8 Mo 0.6081 0.0000 0.6538
9 Ta 0.5000 0.0000 0.0000
10 Sb 0.8899 0.5000 0.3386
11 Mo 0.3919 0.5000 0.8462
12 Sb 0.1101 0.5000 0.6614

***

(12)
The following is a PBE calculation of a geometry-optimized Sr2SiPt structure, from Alexandria via LeMat-Bulk.

Results
formation energy without anion corrections: -38.1 kJ/mol of atoms
V: 26.00 Å³/atom

Cell lengths 5.3153, 5.3153, 3.7084 Å; angles 90.00, 90.00, 97.01 degrees
Element x y z (fractional)
1 Sr 0.0000 0.0000 0.0000
2 Si 0.0000 0.5000 0.5000
3 Pt 0.5000 0.0000 0.5000
4 Sr 0.5000 0.5000 0.0000

***

(13)
The following is a PBE calculation of a geometry-optimized Hg3Sb2Pb3 structure, from Alexandria via LeMat-Bulk.

Results
formation energy without anion corrections: 5.3 kJ/mol of atoms
V: 29.82 Å³/atom

Cell lengths 4.4766, 6.3307, 18.0645 Å; angles 91.76, 85.02, 110.70 degrees
Element x y z (fractional)
1 Pb 0.9965 0.9120 0.1194
2 Hg 0.2995 0.7533 0.9698
3 Pb 0.3097 0.6195 0.7500
4 Hg 0.5462 0.2467 0.4698
5 Hg 0.5704 0.1408 0.7500
6 Hg 0.4538 0.7533 0.5302
7 Pb 0.6903 0.3805 0.2500
8 Pb 0.0035 0.0880 0.8806
9 Hg 0.7005 0.2467 0.0302
10 Pb 0.9156 0.9120 0.3806
11 Sb 0.1889 0.4988 0.3778
12 Sb 0.3099 0.4988 0.1222
13 Sb 0.6901 0.5012 0.8778
14 Pb 0.0844 0.0880 0.6194
15 Sb 0.8111 0.5012 0.6222
16 Hg 0.4296 0.8592 0.2500

***

(14)
The following is a PBE calculation of a geometry-optimized Hf6NbS structure, from Alexandria via LeMat-Bulk.

Results
formation energy without anion corrections: 4.3 kJ/mol of atoms
V: 22.13 Å³/atom

Cell lengths 6.3182, 6.3257, 6.2757 Å; angles 59.95, 59.93, 59.90 degrees
Element x y z (fractional)
1 Nb 0.5000 0.5000 0.5000
2 Hf 0.7733 0.0106 0.7624
3 S 0.0000 0.0000 0.0000
4 Hf 0.0121 0.4514 0.7625
5 Hf 0.9879 0.5486 0.2374
6 Hf 0.2267 0.9894 0.2376
7 Hf 0.4526 0.7735 0.7624
8 Hf 0.5474 0.2265 0.2376

***

(15)
The following is a PBE calculation of a geometry-optimized NaLa2InOs structure, from Alexandria via LeMat-Bulk.

Results
formation energy: -0.50 eV/f.u.
V: 33.19 Å³/atom

Cell lengths 5.5635, 5.5635, 5.3618 Å; angles 90.00, 90.00, 90.00 degrees
Element x y z (fractional)
1 Na 0.5000 0.5000 0.5000
2 In 0.0000 0.0000 0.5000
3 La 0.0000 0.5000 0.0000
4 Os 0.0000 0.0000 0.0000
5 La 0.5000 0.0000 0.0000

***

(16)
The following is a PBE calculation of a geometry-optimized La4Er3Mg structure, from Alexandria via LeMat-Bulk.

Results
formation energy: 0.02 eV/f.u.
V: 33.30 Å³/atom

Cell lengths 3.7376, 3.7376, 19.0721 Å; angles 90.00, 90.00, 90.00 degrees
Element x y z (fractional)
1 La 0.0000 0.0000 0.8849
2 Er 0.5000 0.5000 0.5000
3 La 0.0000 0.0000 0.6274
4 La 0.0000 0.0000 0.1151
5 Mg 0.5000 0.5000 0.0000
6 Er 0.5000 0.5000 0.2445
7 La 0.0000 0.0000 0.3726
8 Er 0.5000 0.5000 0.7555

***

(17)
The following is a PBE calculation of a geometry-optimized Nd3Ho4Tm5 structure, from Alexandria via LeMat-Bulk.

Results
formation energy: 2.93 eV/f.u.
ΔE to the lowest computed polymorph: 2.67 eV/f.u.
V: 32.29 Å³/atom

Cell lengths 5.8872, 8.4645, 9.6047 Å; angles 105.60, 72.15, 69.65 degrees
Element x y z (fractional)
1 Ho 0.8307 0.9611 0.3775
2 Ho 0.1399 0.7781 0.9422
3 Nd 0.0000 0.5000 0.5000
4 Tm 0.2151 0.4566 0.1132
5 Tm 0.5000 0.5000 0.5000
6 Ho 0.8601 0.2219 0.0578
7 Tm 0.6234 0.9490 0.8041
8 Tm 0.3766 0.0510 0.1959
9 Nd 0.4761 0.3146 0.7333
10 Nd 0.5239 0.6854 0.2667
11 Tm 0.7849 0.5434 0.8868
12 Ho 0.1693 0.0389 0.6225

***

(18)
The following is a PBE calculation of a geometry-optimized MgSi2Ru structure, from Alexandria via LeMat-Bulk.

Results
formation energy without anion corrections: -19.4 kJ/mol of atoms
V: 15.04 Å³/atom

Cell lengths 3.1326, 3.1326, 6.1304 Å; angles 90.00, 90.00, 90.00 degrees
Element x y z (fractional)
1 Ru 0.5000 0.5000 0.8082
2 Si 0.5000 0.5000 0.2105
3 Si 0.0000 0.0000 0.9805
4 Mg 0.0000 0.0000 0.5008

***

(19)
The following is a PBE calculation of a geometry-optimized PS2BrN structure, from Alexandria via LeMat-Bulk.

Results
formation energy without anion corrections: 184.5 kJ/mol of atoms
ΔE to the lowest computed polymorph: 5.15 eV/f.u.
V: 18.30 Å³/atom

Cell lengths 5.0030, 5.0030, 3.6551 Å; angles 90.00, 90.00, 90.00 degrees
Element x y z (fractional)
1 P 0.5000 0.5000 0.5000
2 Br 0.0000 0.0000 0.0000
3 S 0.0000 0.5000 0.0000
4 N 0.0000 0.0000 0.5000
5 S 0.5000 0.0000 0.0000

***

(20)
The following is a PBE calculation of a geometry-optimized KLiBr3 structure, from Alexandria via LeMat-Bulk.

Results
formation energy without anion corrections: -109.8 kJ/mol of atoms
ΔE to the lowest computed polymorph: 0.00 eV/f.u.
V: 29.57 Å³/atom

Cell lengths 5.2876, 5.2876, 5.2876 Å; angles 90.00, 90.00, 90.00 degrees
Element x y z (fractional)
1 Br 0.0000 0.0000 0.5000
2 Br 0.0000 0.5000 0.0000
3 Br 0.5000 0.0000 0.0000
4 Li 0.0000 0.0000 0.0000
5 K 0.5000 0.5000 0.5000

***

(21)
The following is a PBE calculation of a geometry-optimized Cs4SrGe3I12 structure, from Alexandria via LeMat-Bulk.

Results
formation energy without anion corrections: -97.0 kJ/mol of atoms
V: 45.91 Å³/atom

Cell lengths 10.6056, 10.6056, 10.6056 Å; angles 109.47, 109.47, 109.47 degrees
Element x y z (fractional)
1 Sr 0.0000 0.0000 0.0000
2 I 0.7400 0.7400 0.0000
3 I 0.5000 0.2500 0.7500
4 Ge 0.0000 0.5000 0.5000
5 Ge 0.5000 0.0000 0.5000
6 I 0.0000 0.2600 0.2600
7 I 0.2600 0.0000 0.2600
8 I 0.7500 0.2500 0.5000
9 I 0.7400 0.0000 0.7400
10 Cs 0.5000 0.5000 0.5000
11 Cs 0.0000 0.5000 0.0000
12 I 0.2500 0.7500 0.5000
13 I 0.2600 0.2600 0.0000
14 I 0.7500 0.5000 0.2500
15 I 0.0000 0.7400 0.7400
16 Cs 0.5000 0.0000 0.0000
17 I 0.5000 0.7500 0.2500
18 Ge 0.5000 0.5000 0.0000
19 Cs 0.0000 0.0000 0.5000
20 I 0.2500 0.5000 0.7500

***

(22)
The following is a PBE calculation of a geometry-optimized LiHgAu2 structure, from Alexandria via LeMat-Bulk.

Results
formation energy: -0.75 eV/f.u.
V: 18.35 Å³/atom

Cell lengths 9.7629, 9.7629, 9.7629 Å; angles 17.49, 17.49, 17.49 degrees
Element x y z (fractional)
1 Au 0.0107 0.0107 0.0107
2 Au 0.4893 0.4893 0.4893
3 Hg 0.2500 0.2500 0.2500
4 Li 0.7500 0.7500 0.7500

***

(23)
The following is a PBE calculation of a geometry-optimized CsHgH4 structure, from Alexandria via LeMat-Bulk.

Results
DFT total energy: -2.254 eV per atom
V: 19.92 Å³/atom

Cell lengths 5.4904, 7.0406, 9.4477 Å; angles 86.80, 117.85, 128.21 degrees
Element x y z (fractional)
1 H 0.2344 0.2407 0.7281
2 H 0.2849 0.1252 0.2195
3 H 0.7151 0.8748 0.7805
4 Cs 0.5000 0.0000 0.0000
5 H 0.6594 0.0318 0.4402
6 H 0.0606 0.5913 0.2193
7 H 0.3406 0.9682 0.5598
8 H 0.7657 0.7593 0.2719
9 Hg 0.8246 0.1280 0.6943
10 H 0.9394 0.4087 0.7807
11 Cs 0.5000 0.5000 0.5000
12 Hg 0.1754 0.8720 0.3057